Entry 1:
Here is Li4TiNi3O8 after structural relaxation from Alexandria via LeMat-Bulk. Energies are from GGA+U. Values from VASP.

Summary:
E: -90.64 eV/f.u.
symmetry: C2/m
offset from the most stable computed form: 5 meV per atom
theoretical density: 4.4 g/cm³

```
&SYSTEM
  ibrav = 0, nat = 16, ntyp = 4
/
ATOMIC_SPECIES
O 16.00 O.upf
Li 6.94 Li.upf
Ti 47.87 Ti.upf
Ni 58.69 Ni.upf
ATOMIC_POSITIONS crystal
O 0.489 0.489 0.272
O 0.996 0.477 0.763
O 0.477 0.996 0.763
O 0.004 0.523 0.237
O 0.992 0.992 0.273
O 0.511 0.511 0.728
O 0.008 0.008 0.727
O 0.523 0.004 0.237
Li 0.000 0.000 0.500
Li 0.000 0.500 0.500
Li 0.500 0.000 0.500
Li 0.500 0.500 0.500
Ti 0.000 0.000 0.000
Ni 0.500 0.500 0.000
Ni 0.500 0.000 0.000
Ni 0.000 0.500 0.000
CELL_PARAMETERS angstrom
-0.484 -5.723 -8.473
4.441 -7.229 -5.728
1.635 -11.212 -9.082
```

Entry 2:
Here is Li5Ti2Ni5O12 after structural relaxation from Alexandria via LeMat-Bulk. Energies are from GGA+U. Values from VASP.

Summary:
E: -142.39 eV/f.u.
symmetry: C2
theoretical density: 4.7 g/cm³

```
&SYSTEM
  ibrav = 0, nat = 24, ntyp = 4
/
ATOMIC_SPECIES
O 16.00 O.upf
Ti 47.87 Ti.upf
Li 6.94 Li.upf
Ni 58.69 Ni.upf
ATOMIC_POSITIONS crystal
O 0.526 0.719 0.619
O 0.883 0.390 0.618
O 0.281 0.474 0.381
O 0.133 0.608 0.885
O 0.484 0.301 0.883
O 0.026 0.215 0.123
O 0.699 0.516 0.117
O 0.212 0.031 0.621
O 0.392 0.867 0.115
O 0.610 0.117 0.382
O 0.969 0.788 0.379
O 0.785 0.974 0.877
Ti 0.248 0.752 0.500
Ti 0.759 0.241 0.000
Li 0.322 0.168 0.247
Li 0.670 0.829 0.246
Li 0.832 0.678 0.753
Li 0.171 0.330 0.754
Li 0.089 0.911 0.000
Ni 0.914 0.086 0.500
Ni 0.998 0.505 0.246
Ni 0.495 0.002 0.754
Ni 0.423 0.577 0.000
Ni 0.580 0.420 0.500
CELL_PARAMETERS angstrom
-4.574 2.132 -0.841
1.364 -1.464 4.709
2.689 8.952 2.923
```